Record 1
# SeS2N

SeS2N at its PBEsol-relaxed geometry (meta-GGA SCAN, Alexandria via LeMat-Bulk).

## Properties
- Magnetization: 0.0 μB/f.u.
- DOS(E_F): 0.563 states/eV/atom
- Raw total energy: -10.85 eV per atom
- SG: I-42d (122)
- Calculated density: 3880 kg/m3

Structure (POSCAR):
```
SeS2N
1.0
-3.648 0.219 3.288
0.725 -4.731 1.120
5.101 3.746 1.734
S Se N
4 2 2
Direct
0.549 0.875 0.250
0.701 0.375 0.250
0.125 0.299 0.750
0.625 0.451 0.750
0.250 0.750 0.500
0.000 0.000 0.000
0.750 0.250 0.500
0.500 0.500 0.000
```


Record 2
# SiSeSN2

SiSeSN2 at its PBEsol-relaxed geometry (meta-GGA SCAN, Alexandria via LeMat-Bulk).

## Properties
- Magnetization: 0.0 μB/f.u.
- DOS(E_F): 0.331 states/eV/atom
- Raw total energy: -10.02 eV per atom
- SG: P4/mmm (123)
- Calculated density: 4092 kg/m3

Structure (POSCAR):
```
SiSeSN2
1.0
3.704 0.000 0.000
0.000 3.704 0.000
0.000 0.000 4.944
S Si Se N
1 1 1 2
Direct
0.000 0.000 0.500
0.500 0.500 0.500
0.000 0.000 0.000
0.000 0.500 0.000
0.500 0.000 0.000
```


Record 3
# SrSeSN2

SrSeSN2 at its PBEsol-relaxed geometry (meta-GGA SCAN, Alexandria via LeMat-Bulk).

## Properties
- Magnetization: 2.1 μB/f.u.
- DOS(E_F): 0.445 states/eV/atom
- Raw total energy: -13.39 eV per atom
- SG: P4/mmm (123)
- Calculated density: 4758 kg/m3

Structure (POSCAR):
```
SrSeSN2
1.0
-3.983 0.671 0.368
-0.452 -0.490 -4.001
-0.732 -4.707 0.660
Sr S Se N
1 1 1 2
Direct
0.500 0.500 0.500
0.000 0.000 0.000
0.000 0.000 0.500
0.000 0.500 0.000
0.500 0.000 0.000
```